1.
Nd3Dy3YTe8 | PBE | optimized geometry

Properties
- formation energy (no corrections) (eV per atom) = -1.412
- symmetry = No. 166

a = 8.796 Å, b = 8.796 Å, c = 8.839 Å
α = 119.84°, β = 90.00°, γ = 120.00°
Atoms (fractional coordinates):
Te: 0.253 0.506 0.745
Nd: 0.000 0.500 0.000
Te: 0.253 0.992 0.745
Dy: 0.500 0.000 0.500
Dy: 0.500 0.500 0.500
Te: 0.254 0.508 0.261
Te: 0.746 0.492 0.739
Y: 0.000 0.000 0.500
Nd: 0.000 0.000 0.000
Te: 0.740 0.992 0.745
Nd: 0.500 0.500 0.000
Te: 0.260 0.008 0.255
Te: 0.747 0.494 0.255
Dy: 0.000 0.500 0.500
Te: 0.747 0.008 0.255

***

2.
Ce2TlH2 | PBE | optimized geometry

Properties
- symmetry = No. 139

a = 4.220 Å, b = 4.220 Å, c = 5.885 Å
α = 111.01°, β = 111.01°, γ = 90.00°
Last column: magnetic moment on the atom in μB.
Atoms (fractional coordinates):
H: 0.750 0.250 0.500  0.00
Tl: 0.000 0.000 0.000  -0.02
Ce: 0.646 0.646 0.293  0.62
H: 0.250 0.750 0.500  0.00
Ce: 0.354 0.354 0.707  0.62

***

3.
IrPdI3 | PBE | optimized geometry

Properties
- formation energy (no corrections) (eV per atom) = 0.752
- symmetry = No. 221

a = 5.409 Å, b = 5.409 Å, c = 5.409 Å
α = 90.00°, β = 90.00°, γ = 90.00°
Last column: magnetic moment on the atom in μB.
Atoms (fractional coordinates):
Pd: 0.500 0.500 0.500  0.36
Ir: 0.000 0.000 0.000  0.12
I: 0.000 0.500 0.000  0.06
I: 0.000 0.000 0.500  0.02
I: 0.500 0.000 0.000  0.08

***

4.
RbGa2Ni2 | PBE | optimized geometry

Properties
- symmetry = No. 127

a = 7.866 Å, b = 7.866 Å, c = 2.753 Å
α = 90.00°, β = 90.00°, γ = 90.00°
Atoms (fractional coordinates):
Ga: 0.124 0.624 0.500
Ga: 0.876 0.376 0.500
Ni: 0.659 0.159 0.000
Rb: 0.500 0.500 0.000
Ni: 0.159 0.341 0.000
Ga: 0.376 0.124 0.500
Rb: 0.000 0.000 0.000
Ni: 0.341 0.841 0.000
Ni: 0.841 0.659 0.000
Ga: 0.624 0.876 0.500

***

no.,spin magnetization (μB per atom),E (eV for the cell shown)
1,0.000,-80.89
2,0.266,-23.11
3,0.143,-14.94
4,0.000,-36.02